No. 1
# PBE RbGa6Sn6, relaxed
data_RbGa6Sn6
_chemical_formula_sum 'Rb1 Ga6 Sn6'
_symmetry_space_group_name_H-M 'P 1'
_symmetry_Int_Tables_number 1
_symmetry_space_group_name_Hall 'P 1'
_cell_length_a 7.699
_cell_length_b 7.699
_cell_length_c 7.699
_cell_angle_alpha 90.00
_cell_angle_beta 90.00
_cell_angle_gamma 90.00
loop_
_atom_site_label
_atom_site_type_symbol
_atom_site_fract_x
_atom_site_fract_y
_atom_site_fract_z
Rb1 Rb 0.000 0.000 0.000
Ga1 Ga 0.000 0.249 0.500
Ga2 Ga 0.000 0.751 0.500
Ga3 Ga 0.249 0.500 0.000
Ga4 Ga 0.500 0.000 0.249
Ga5 Ga 0.500 0.000 0.751
Ga6 Ga 0.751 0.500 0.000
Sn1 Sn 0.000 0.500 0.252
Sn2 Sn 0.000 0.500 0.748
Sn3 Sn 0.252 0.000 0.500
Sn4 Sn 0.500 0.252 0.000
Sn5 Sn 0.500 0.748 0.000
Sn6 Sn 0.748 0.000 0.500
# SG: Pm-3 (200)
# ΔH_f (0 K): 2.1 kcal/mol of atoms
# Total magnetic moment: 0.000 μB/cell

No. 2
# PBE ScAgSb2, relaxed
data_ScAgSb2
_chemical_formula_sum 'Sc1 Ag1 Sb2'
_symmetry_space_group_name_H-M 'P 1'
_symmetry_Int_Tables_number 1
_symmetry_space_group_name_Hall 'P 1'
_cell_length_a 10.087
_cell_length_b 10.087
_cell_length_c 10.087
_cell_angle_alpha 19.31
_cell_angle_beta 19.31
_cell_angle_gamma 19.31
loop_
_atom_site_label
_atom_site_type_symbol
_atom_site_fract_x
_atom_site_fract_y
_atom_site_fract_z
Sc1 Sc 0.000 0.000 0.000
Ag1 Ag 0.739 0.739 0.739
Sb1 Sb 0.253 0.253 0.253
Sb2 Sb 0.483 0.483 0.483
# SG: R3m (160)
# Raw formation energy: -0.61 kcal/mol of atoms
# Total magnetic moment: 0.000 μB/cell

Number 1: E -41.95 eV per formula unit. Number 2: E -17.53 eV per formula unit.